Record 1
A plane-wave DFT calculation with GGA-PBE was carried out for crystalline Na5Pd3I12 at its relaxed geometry.

Unit cell a=16.676 b=16.676 c=16.676 alpha=109.47 beta=109.47 gamma=109.47
Fractional coordinates of all 80 atoms:
Na (0.250, 0.875, 0.125)
Na (0.250, 0.375, 0.625)
Na (0.125, 0.750, 0.375)
Na (0.500, 0.500, 0.500)
Na (0.625, 0.875, 0.250)
Na (0.500, 0.000, 0.000)
Na (0.000, 0.500, 0.000)
Na (0.375, 0.250, 0.125)
Na (0.125, 0.375, 0.250)
Na (0.000, 0.000, 0.500)
Na (0.750, 0.125, 0.875)
Na (0.875, 0.625, 0.750)
Na (0.750, 0.625, 0.375)
Na (0.625, 0.750, 0.875)
Na (0.000, 0.500, 0.500)
Na (0.375, 0.125, 0.750)
Na (0.500, 0.000, 0.500)
Na (0.500, 0.500, 0.000)
Na (0.000, 0.000, 0.000)
Na (0.875, 0.250, 0.625)
I (0.947, 0.315, 0.298)
I (0.632, 0.685, 0.483)
I (0.517, 0.815, 0.368)
I (0.868, 0.017, 0.815)
I (0.351, 0.798, 0.483)
I (0.017, 0.868, 0.315)
I (0.315, 0.947, 0.798)
I (0.798, 0.351, 0.983)
I (0.447, 0.798, 0.815)
I (0.702, 0.185, 0.053)
I (0.685, 0.053, 0.202)
I (0.798, 0.447, 0.315)
I (0.185, 0.483, 0.132)
I (0.149, 0.017, 0.702)
I (0.368, 0.315, 0.517)
I (0.202, 0.553, 0.685)
I (0.017, 0.149, 0.202)
I (0.315, 0.368, 0.017)
I (0.815, 0.298, 0.447)
I (0.298, 0.815, 0.947)
I (0.132, 0.983, 0.185)
I (0.351, 0.553, 0.368)
I (0.851, 0.868, 0.053)
I (0.851, 0.983, 0.298)
I (0.053, 0.685, 0.702)
I (0.553, 0.202, 0.185)
I (0.815, 0.517, 0.868)
I (0.947, 0.632, 0.149)
I (0.368, 0.053, 0.351)
I (0.149, 0.132, 0.947)
I (0.517, 0.702, 0.649)
I (0.553, 0.351, 0.868)
I (0.868, 0.851, 0.553)
I (0.685, 0.632, 0.983)
I (0.185, 0.702, 0.553)
I (0.649, 0.202, 0.517)
I (0.483, 0.298, 0.351)
I (0.053, 0.368, 0.851)
I (0.983, 0.132, 0.685)
I (0.202, 0.649, 0.017)
I (0.132, 0.149, 0.447)
I (0.483, 0.185, 0.632)
I (0.983, 0.851, 0.798)
I (0.702, 0.517, 0.149)
I (0.632, 0.947, 0.649)
I (0.649, 0.447, 0.632)
I (0.447, 0.649, 0.132)
I (0.298, 0.483, 0.851)
Pd (0.625, 0.250, 0.375)
Pd (0.625, 0.375, 0.750)
Pd (0.125, 0.250, 0.875)
Pd (0.375, 0.625, 0.250)
Pd (0.250, 0.125, 0.375)
Pd (0.750, 0.875, 0.625)
Pd (0.875, 0.750, 0.125)
Pd (0.750, 0.375, 0.125)
Pd (0.125, 0.875, 0.750)
Pd (0.875, 0.125, 0.250)
Pd (0.375, 0.750, 0.625)
Pd (0.250, 0.625, 0.875)

- uncorrected formation energy (eV/atom) = -0.4584
- DOS(E_F) (states/eV per cell) = 67.5
- total magnetization (Bohr magnetons per cell) = 0.000
- final energy (eV per cell) = -199.77


Record 2
A plane-wave DFT calculation with GGA-PBE was carried out for crystalline Na2PdI6 at its relaxed geometry.

Unit cell a=7.712 b=7.843 c=11.011 alpha=90.00 beta=88.70 gamma=90.00
Fractional coordinates of all 18 atoms:
I (0.218, 0.336, 0.102)
I (0.617, 0.573, 0.229)
I (0.823, 0.701, 0.503)
I (0.323, 0.799, 0.003)
I (0.177, 0.299, 0.497)
I (0.282, 0.836, 0.398)
I (0.117, 0.927, 0.729)
I (0.383, 0.427, 0.771)
I (0.718, 0.164, 0.602)
I (0.883, 0.073, 0.271)
I (0.782, 0.664, 0.898)
I (0.677, 0.201, 0.997)
Pd (0.500, 0.500, 0.000)
Pd (0.000, 0.000, 0.500)
Na (0.514, 0.815, 0.687)
Na (0.014, 0.685, 0.187)
Na (0.986, 0.315, 0.813)
Na (0.486, 0.185, 0.313)

- uncorrected formation energy (eV/atom) = -0.5919
- total magnetization (Bohr magnetons per cell) = 0.000
- final energy (eV per cell) = -44.92
- polymorph energy (0 for the lowest one) (eV per atom) = 0.006


Question: Which of these has the highest final energy?
Answer: Na2PdI6


Question: total magnetization of number 1 (Na5Pd3I12)?
Answer: 0.000 Bohr magnetons per cell